The following is a DFT calculation (PBE-GGA) of an optimized crystal structure of LiPmSb2.

Cell lengths 7.5192, 7.5192, 7.5192 Å; angles 90.00, 90.00, 90.00 degrees
With the nearest neighbours (Å) after each atom.
Space group Fm-3m (No. 225)
Symmetry-distinct sites (fractional):
Li 0.0000 0.0000 0.0000 x4  8 Sb 3.26
Pm 0.0000 0.0000 0.5000 x4  8 Sb 3.26
Sb 0.2500 0.2500 0.2500 x8  4 Li 3.26, 4 Pm 3.26

* magnetic moment: 0.0 μB/cell
* ΔE_f (raw): -13.09 kcal/mol of atoms
* energy: -4.295 eV/atom
* polymorph energy (0 for the lowest one): 275 meV per atom

The following is a DFT calculation (PBE-GGA) of an optimized crystal structure of Pr7TeSe5.

Cell lengths 4.2151, 14.1032, 25.3337 Å; angles 90.00, 90.00, 90.00 degrees
With the nearest neighbours (Å) after each atom.
Space group Cmcm (No. 63)
Symmetry-distinct sites (fractional):
Pr 0.0000 0.0189 0.2500 x4  2 Se 2.91, 2 Te 3.18
Pr 0.0000 0.1385 0.5371 x8  6 Se 2.93-3.02
Pr 0.0000 0.3107 0.1775 x8  3 Se 2.96-3.00, 2 Te 3.29
Pr 0.0000 0.4083 0.6158 x8  5 Se 3.00-3.21
Te 0.0000 0.3123 0.7500 x4  6 Pr 3.18-3.29
Se 0.0000 0.0516 0.6422 x8  6 Pr 2.91-3.00
Se 0.0000 0.2225 0.0713 x8  6 Pr 2.96-3.02
Se 0.0000 0.5000 0.0000 x4  6 Pr 3.02-3.21

* magnetic moment: 2.0 μB/cell
* ΔE_f (raw): -37.55 kcal/mol of atoms
* energy: -5.784 eV/atom

The following is a DFT calculation (PBE-GGA) of an optimized crystal structure of SrAl2GaPd2.

Cell lengths 4.7078, 4.7078, 5.9150 Å; angles 90.00, 90.00, 90.00 degrees
With the nearest neighbours (Å) after each atom.
Space group P4/mmm (No. 123)
Symmetry-distinct sites (fractional):
Sr 0.0000 0.0000 0.0000 x1  2 Ga 2.96
Al 0.0000 0.5000 0.5000 x2  2 Ga 2.35
Ga 0.0000 0.0000 0.5000 x1  4 Al 2.35
Pd 0.5000 0.5000 0.2599 x2  4 Al 2.75, 2 Pd 2.84-3.07

* magnetic moment: 0.0 μB/cell
* ΔH_f (0 K): -18 kJ/mol of atoms
* energy: -3.947 eV/atom

The following is a DFT calculation (PBE-GGA) of an optimized crystal structure of NaCdC3.

Cell lengths 4.4996, 4.4996, 4.4996 Å; angles 90.00, 90.00, 90.00 degrees
With the nearest neighbours (Å) after each atom.
Space group Pm-3m (No. 221)
Symmetry-distinct sites (fractional):
Na 0.0000 0.0000 0.0000 x1  12 C 3.18
Cd 0.5000 0.5000 0.5000 x1  6 C 2.25
C 0.0000 0.5000 0.5000 x3  2 Cd 2.25

* magnetic moment: 0.0 μB/cell
* ΔH_f (0 K): 291 kJ/mol of atoms
* energy: -2.965 eV/atom
* polymorph energy (0 for the lowest one): 0 meV per atom

The following is a DFT calculation (PBE-GGA) of an optimized crystal structure of Tb2Dy6Er3.

Cell lengths 4.6864, 4.6864, 32.9627 Å; angles 90.00, 90.00, 90.00 degrees
With the nearest neighbours (Å) after each atom.
Space group I4/mmm (No. 139)
Symmetry-distinct sites (fractional):
Tb 0.0000 0.0000 0.0458 x4  1 Tb 3.02
Dy 0.0000 0.0000 0.1968 x4  5 Er 3.32-3.41, 4 Dy 3.42
Dy 0.0000 0.5000 0.1214 x8  6 Dy 3.31-3.42, 2 Tb 3.42, 2 Er 3.49
Er 0.0000 0.0000 0.3002 x4  9 Dy 3.32-3.49
Er 0.0000 0.0000 0.5000 x2  8 Tb 3.64

* magnetic moment: 0.0 μB/cell
* ΔH_f (0 K): 28 kJ/mol of atoms
* energy: -4.307 eV/atom

The following is a DFT calculation (PBE-GGA) of an optimized crystal structure of ScTeAu2.

Cell lengths 10.0676, 3.8455, 4.5461 Å; angles 90.00, 102.47, 90.00 degrees
With the nearest neighbours (Å) after each atom.
Space group C2/m (No. 12)
Symmetry-distinct sites (fractional):
Sc 0.0000 0.0000 0.0000 x2  4 Te 2.98, 6 Au 3.05-3.06
Te 0.0000 0.5000 0.5000 x2  2 Au 2.90, 4 Sc 2.98
Au 0.2351 0.5000 0.2280 x4  4 Au 2.89-3.10, 1 Te 2.90, 3 Sc 3.05-3.06

* magnetic moment: 0.0 μB/cell
* ΔE_f (raw): -10.85 kcal/mol of atoms
* energy: -4.478 eV/atom

The following is a DFT calculation (PBE-GGA) of an optimized crystal structure of Ho4Zn3Ga.

Cell lengths 5.0220, 5.0220, 24.6601 Å; angles 90.00, 90.00, 120.00 degrees
With the nearest neighbours (Å) after each atom.
Space group R-3m (No. 166, hexagonal axes)
Symmetry-distinct sites (fractional):
Ho 0.0000 0.0000 0.1249 x6  3 Ga 3.08, 5 Zn 3.08-3.14
Ho 0.0000 0.0000 0.3749 x6  7 Zn 3.03-3.08, 1 Ga 3.08
Zn 0.0000 0.0000 0.0000 x3  8 Ho 3.08
Zn 0.0000 0.0000 0.2520 x6  8 Ho 3.03-3.14
Ga 0.0000 0.0000 0.5000 x3  8 Ho 3.08

* magnetic moment: 0.0 μB/cell
* ΔH_f (0 K): -40 kJ/mol of atoms
* energy: -3.556 eV/atom
* polymorph energy (0 for the lowest one): 0 meV per atom

The following is a DFT calculation (PBE-GGA) of an optimized crystal structure of Ba2PmPaSe6.

Cell lengths 7.5190, 7.9738, 13.2542 Å; angles 90.00, 124.56, 90.00 degrees
With the nearest neighbours (Å) after each atom.
Space group P2_1/c (No. 14)
Symmetry-distinct sites (fractional):
Ba 0.2253 0.0760 0.2496 x4  6 Se 3.31-3.53
Pm 0.0000 0.0000 0.5000 x2  6 Se 2.90-2.94
Pa 0.5000 0.0000 0.0000 x2  6 Se 2.76-2.80
Se 0.1515 0.1921 0.9501 x4  1 Pa 2.77, 1 Pm 2.94
Se 0.2603 0.7058 0.9479 x4  1 Pa 2.80, 1 Pm 2.92
Se 0.3541 0.0237 0.7565 x4  1 Pa 2.76, 1 Pm 2.90

* magnetic moment: 0.0 μB/cell
* ΔE_f (raw): -41.78 kcal/mol of atoms
* energy: -5.712 eV/atom

The following is a DFT calculation (PBE-GGA) of an optimized crystal structure of KTlSbPb.

Cell lengths 5.3817, 5.3817, 18.6766 Å; angles 90.00, 90.00, 120.00 degrees
With the nearest neighbours (Å) after each atom.
Space group R3m (No. 160, hexagonal axes)
Symmetry-distinct sites (fractional):
K 0.0000 0.0000 0.0000 x3  1 Pb 3.60, 3 Tl 3.82, 4 Sb 3.84-3.92
Tl 0.0000 0.0000 0.5479 x3  3 Pb 3.13, 3 Sb 3.50
Sb 0.0000 0.0000 0.7946 x3  3 Pb 3.33, 3 Tl 3.50
Pb 0.0000 0.0000 0.1926 x3  3 Tl 3.13, 3 Sb 3.33

* magnetic moment: 0.0 μB/cell
* ΔE_f (raw): -1.38 kcal/mol of atoms
* energy: -2.883 eV/atom
* polymorph energy (0 for the lowest one): 20 meV per atom

The following is a DFT calculation (PBE-GGA) of an optimized crystal structure of TiCuAs2Au.

Cell lengths 4.6282, 4.6282, 4.7128 Å; angles 90.00, 90.00, 90.00 degrees
With the nearest neighbours (Å) after each atom.
Space group P4/mmm (No. 123)
Symmetry-distinct sites (fractional):
Ti 0.0000 0.0000 0.0000 x1  4 Au 3.27, 8 As 3.30
Cu 0.5000 0.5000 0.5000 x1  4 As 2.31, 2 Au 2.36
As 0.0000 0.5000 0.5000 x2  2 Cu 2.31
Au 0.5000 0.5000 0.0000 x1  2 Cu 2.36

* magnetic moment: 0.0 μB/cell
* ΔH_f (0 K): 51 kJ/mol of atoms
* energy: -4.389 eV/atom

The following is a DFT calculation (PBE-GGA) of an optimized crystal structure of CuReCl.

Cell lengths 2.8677, 2.8677, 12.8204 Å; angles 90.00, 90.00, 90.00 degrees
With the nearest neighbours (Å) after each atom.
Space group I4mm (No. 107)
Symmetry-distinct sites (fractional):
Cu 0.0000 0.0000 0.0000 x2  4 Re 2.57, 4 Cu 2.87
Re 0.0000 0.0000 0.3773 x2  4 Cu 2.57, 4 Cl 2.64, 4 Re 2.87
Cl 0.0000 0.0000 0.7449 x2  4 Re 2.64, 4 Cl 2.87

* magnetic moment: 0.2 μB/cell
* ΔE_f (raw): 16.74 kcal/mol of atoms
* energy: -5.405 eV/atom
* polymorph energy (0 for the lowest one): 185 meV per atom

The following is a DFT calculation (PBE-GGA) of an optimized crystal structure of SrZn2Ir2.

Cell lengths 7.7167, 7.7167, 2.9087 Å; angles 90.00, 90.00, 90.00 degrees
With the nearest neighbours (Å) after each atom.
Space group P4/mbm (No. 127)
Symmetry-distinct sites (fractional):
Sr 0.0000 0.0000 0.0000 x2  2 Sr 2.91, 4 Zn 3.04, 8 Ir 3.23
Zn 0.1271 0.3729 0.0000 x4  6 Ir 2.69-2.70, 3 Zn 2.77-2.91
Ir 0.1656 0.6656 0.5000 x4  6 Zn 2.69-2.70, 2 Ir 2.91

* magnetic moment: 0.0 μB/cell
* ΔH_f (0 K): -12 kJ/mol of atoms
* energy: -4.511 eV/atom
* polymorph energy (0 for the lowest one): 134 meV per atom

The following is a DFT calculation (PBE-GGA) of an optimized crystal structure of Ac2HgI2N.

Cell lengths 4.2953, 12.5809, 8.4636 Å; angles 90.00, 90.00, 90.00 degrees
With the nearest neighbours (Å) after each atom.
Space group Pmc2_1 (No. 26)
Symmetry-distinct sites (fractional):
Ac 0.0000 0.1408 0.0000 x2  1 N 2.34
Ac 0.5000 0.1985 0.4005 x2  2 N 2.52
Hg 0.5000 0.0342 0.7182 x2  2 N 3.05, 2 Ac 3.31-3.39
I 0.0000 0.3184 0.6599 x2  3 Ac 3.42-3.64
I 0.5000 0.3464 0.0757 x2  3 Ac 3.32-3.42
N 0.0000 0.1338 0.2767 x2  3 Ac 2.34-2.52

* magnetic moment: 0.0 μB/cell
* ΔE_f (raw): -24.22 kcal/mol of atoms
* energy: -4.374 eV/atom

The following is a DFT calculation (PBE-GGA) of an optimized crystal structure of DyAl4Tc.

Cell lengths 4.5249, 14.3387, 6.8290 Å; angles 90.00, 90.00, 90.00 degrees
With the nearest neighbours (Å) after each atom.
Space group Cmcm (No. 63)
Symmetry-distinct sites (fractional):
Dy 0.0000 0.1168 0.2500 x4  7 Al 2.90-3.08
Al 0.0000 0.0854 0.7500 x4  2 Tc 2.48
Al 0.0000 0.2630 0.5762 x8  3 Al 2.37-2.52, 1 Tc 2.51
Al 0.0000 0.5000 0.0000 x4  2 Tc 2.81, 4 Al 3.09
Tc 0.0000 0.3444 0.2500 x4  4 Al 2.48-2.51

* magnetic moment: 0.0 μB/cell
* ΔH_f (0 K): -21 kJ/mol of atoms
* energy: -5.206 eV/atom

The following is a DFT calculation (PBE-GGA) of an optimized crystal structure of Mg2NpB2Ir5.

Cell lengths 9.9427, 9.9427, 2.9843 Å; angles 90.00, 90.00, 90.00 degrees
With the nearest neighbours (Å) after each atom.
Space group P4/mbm (No. 127)
Symmetry-distinct sites (fractional):
Mg 0.1779 0.3221 0.0000 x4  3 B 2.86-3.00, 10 Ir 2.91-3.04, 2 Mg 2.98
Np 0.0000 0.0000 0.0000 x2  8 Ir 2.81, 2 Np 2.98
B 0.1184 0.6184 0.0000 x4  6 Ir 2.18-2.24
Ir 0.0000 0.5000 0.5000 x2  4 B 2.24
Ir 0.0712 0.7712 0.5000 x8  2 B 2.18

* magnetic moment: 6.1 μB/cell
* ΔH_f (0 K): -30 kJ/mol of atoms
* energy: -7.694 eV/atom

The following is a DFT calculation (PBE-GGA) of an optimized crystal structure of CsCa3B.

Cell lengths 5.6767, 5.6767, 5.6767 Å; angles 90.00, 90.00, 90.00 degrees
With the nearest neighbours (Å) after each atom.
Space group Pm-3m (No. 221)
Symmetry-distinct sites (fractional):
Cs 0.0000 0.0000 0.0000 x1  12 Ca 4.01
Ca 0.0000 0.5000 0.5000 x3  2 B 2.84
B 0.5000 0.5000 0.5000 x1  6 Ca 2.84

* magnetic moment: 0.0 μB/cell
* ΔH_f (0 K): 39 kJ/mol of atoms
* energy: -2.303 eV/atom
* polymorph energy (0 for the lowest one): 0 meV per atom

The following is a DFT calculation (PBE-GGA) of an optimized crystal structure of LaMo3P.

Cell lengths 4.7990, 4.7990, 4.7990 Å; angles 90.00, 90.00, 90.00 degrees
With the nearest neighbours (Å) after each atom.
Space group Pm-3m (No. 221)
Symmetry-distinct sites (fractional):
La 0.0000 0.0000 0.0000 x1  6 Mo 2.40
Mo 0.0000 0.0000 0.5000 x3  2 La 2.40
P 0.5000 0.5000 0.5000 x1  12 Mo 3.39

* magnetic moment: 0.0 μB/cell
* ΔH_f (0 K): 242 kJ/mol of atoms
* energy: -6.059 eV/atom

The following is a DFT calculation (PBE-GGA) of an optimized crystal structure of BeTlCd2.

Cell lengths 9.1057, 3.1023, 6.6974 Å; angles 90.00, 110.67, 90.00 degrees
With the nearest neighbours (Å) after each atom.
Space group Cm (No. 8)
Symmetry-distinct sites (fractional):
Be 0.0000 0.0000 0.0000 x2  5 Cd 2.53-2.61, 2 Tl 2.81
Tl 0.1525 0.5000 0.3648 x2  2 Be 2.81, 1 Cd 3.08, 2 Tl 3.10
Cd 0.2770 0.0000 0.9958 x2  3 Be 2.53-2.55
Cd 0.4718 0.0000 0.6756 x2  2 Be 2.61

* magnetic moment: 0.0 μB/cell
* ΔH_f (0 K): 29 kJ/mol of atoms
* energy: -1.681 eV/atom
* polymorph energy (0 for the lowest one): 11 meV per atom

The following is a DFT calculation (PBE-GGA) of an optimized crystal structure of CaTmCdHg.

Cell lengths 7.4710, 7.4710, 7.4710 Å; angles 90.00, 90.00, 90.00 degrees
With the nearest neighbours (Å) after each atom.
Space group F-43m (No. 216)
Symmetry-distinct sites (fractional):
Ca 0.0000 0.0000 0.0000 x4  4 Hg 3.24, 4 Cd 3.24
Tm 0.0000 0.0000 0.5000 x4  4 Hg 3.24, 4 Cd 3.24
Cd 0.2500 0.2500 0.2500 x4  4 Ca 3.24, 4 Tm 3.24
Hg 0.2500 0.2500 0.7500 x4  4 Ca 3.24, 4 Tm 3.24

* magnetic moment: 0.0 μB/cell
* ΔH_f (0 K): -40 kJ/mol of atoms
* energy: -2.339 eV/atom
* polymorph energy (0 for the lowest one): 18 meV per atom

The following is a DFT calculation (PBE-GGA) of an optimized crystal structure of ThMnTe4.

Cell lengths 8.8357, 6.2479, 6.2741 Å; angles 90.00, 100.75, 90.00 degrees
With the nearest neighbours (Å) after each atom.
Space group P2_1/c (No. 14)
Symmetry-distinct sites (fractional):
Th 0.0000 0.0000 0.0000 x2  6 Te 3.26-3.44
Mn 0.5000 0.0000 0.5000 x2  6 Te 2.57-2.86
Te 0.1807 0.0436 0.5201 x4  1 Mn 2.86, 1 Te 3.20
Te 0.3889 0.6073 0.6056 x4  2 Mn 2.57-2.77

* magnetic moment: 6.5 μB/cell
* ΔE_f (raw): -10.29 kcal/mol of atoms
* energy: -5.306 eV/atom